1.
Here is La2Pm2Hg after structural relaxation from the Alexandria database. Energies are from GGA-PBE.

Its formation energy from the elements is -0.185 eV per atom. The calculation puts the energy above the most stable polymorph in this dataset at 0.000 eV/atom.

The space group is I4/mmm (No. 139) and the conventional cell measures 3.753, 3.753 and 23.246 Å, with angles of 90.00, 90.00 and 90.00 degrees. The asymmetric unit holds La at (0.000, 0.000, 0.194), Pm at (0.000, 0.000, 0.416) and Hg at (0.000, 0.000, 0.000).

2.
Here is AlTlTe2 after structural relaxation from the Alexandria database. Energies are from GGA-PBE.

The value obtained for the uncorrected formation energy is -1.42 eV per formula unit.

The space group is P-3m1 (No. 164) and the conventional cell measures 4.1666, 4.1666 and 8.0473 Å, with angles of 90.00, 90.00 and 120.00 degrees. The asymmetric unit holds Al at (0.0000, 0.0000, 0.0000), Tl at (0.0000, 0.0000, 0.5000) and Te at (0.3333, 0.6667, 0.1896).

3.
Here is SmGa2CuNi2 after structural relaxation from the Alexandria database. Energies are from GGA-PBE.

Its formation energy from the elements is -0.154 eV per atom.

The space group is P4/mmm (No. 123) and the conventional cell measures 4.434, 4.434 and 5.310 Å, with angles of 90.00, 90.00 and 90.00 degrees. The asymmetric unit holds Sm at (0.000, 0.000, 0.000), Ga at (0.500, 0.500, 0.250), Cu at (0.000, 0.000, 0.500) and Ni at (0.000, 0.500, 0.500).

4.
Here is PaGe5 after structural relaxation from the Alexandria database. Energies are from GGA-PBE.

Its formation energy from the elements is -0.082 eV per atom.

The space group is Cmmm (No. 65) and the conventional cell measures 4.559, 13.485 and 3.831 Å, with angles of 90.00, 90.00 and 90.00 degrees. The asymmetric unit holds Pa at (0.000, 0.000, 0.000), Ge at (0.000, 0.184, 0.500), Ge at (0.000, 0.345, 0.000) and Ge at (0.000, 0.500, 0.500).

5.
Here is K2Be after structural relaxation from the Alexandria database. Energies are from GGA-PBE.

Its formation energy from the elements is 0.829 eV per atom. The calculation puts the energy above the most stable polymorph in this dataset at 0.369 eV/atom.

The space group is Pnnm (No. 58) and the conventional cell measures 8.011, 8.122 and 4.619 Å, with angles of 90.00, 90.00 and 90.00 degrees. The asymmetric unit holds K at (0.237, 0.157, 0.000) and Be at (0.000, 0.500, 0.000).

6.
Here is LaRe3B3 after structural relaxation from the Alexandria database. Energies are from GGA-PBE.

Its formation energy from the elements is -0.053 eV per atom.

The space group is P6_3/m (No. 176) and the conventional cell measures 8.5780, 8.5780 and 2.9892 Å, with angles of 90.00, 90.00 and 120.00 degrees. The asymmetric unit holds La at (0.3333, 0.6667, 0.2500), Re at (0.0281, 0.2864, 0.7500) and B at (0.0265, 0.5548, 0.7500).

7.
Here is Nb3InH2 after structural relaxation from the Alexandria database. Energies are from GGA-PBE.

The calculation puts the energy above the most stable polymorph in this dataset at 0.000 eV/atom.

The space group is Cmcm (No. 63) and the conventional cell measures 8.372, 8.646 and 4.575 Å, with angles of 90.00, 90.00 and 90.00 degrees. The asymmetric unit holds Nb at (0.000, 0.128, 0.250), Nb at (0.227, 0.366, 0.250), In at (0.000, 0.352, 0.750) and H at (0.137, 0.000, 0.000).

8.
Here is BeRe2P after structural relaxation from the Alexandria database. Energies are from GGA-PBE.

Its formation energy from the elements is 0.032 eV per atom. The calculation puts the energy above the most stable polymorph in this dataset at 0.307 eV/atom.

The space group is P4/mmm (No. 123) and the conventional cell measures 2.923, 2.923 and 5.738 Å, with angles of 90.00, 90.00 and 90.00 degrees. The asymmetric unit holds Be at (0.000, 0.000, 0.000), Re at (0.500, 0.500, 0.246) and P at (0.000, 0.000, 0.500).

9.
Here is ReH2Ru2 after structural relaxation from the Alexandria database. Energies are from GGA-PBE.

The calculation puts the energy above the most stable polymorph in this dataset at 0.211 eV/atom.

The space group is P4/mbm (No. 127) and the conventional cell measures 5.949, 5.949 and 2.833 Å, with angles of 90.00, 90.00 and 90.00 degrees. The asymmetric unit holds Re at (0.000, 0.000, 0.000), H at (0.211, 0.289, 0.000) and Ru at (0.147, 0.647, 0.500).

10.
Here is MnTl2Mo after structural relaxation from the Alexandria database. Energies are from GGA-PBE.

Its formation energy from the elements is 0.699 eV per atom. The calculation puts the energy above the most stable polymorph in this dataset at 0.249 eV/atom.

The space group is P4/mmm (No. 123) and the conventional cell measures 4.340, 4.340 and 4.112 Å, with angles of 90.00, 90.00 and 90.00 degrees. The asymmetric unit holds Mn at (0.000, 0.000, 0.000), Tl at (0.000, 0.500, 0.500) and Mo at (0.500, 0.500, 0.000).

11.
Here is Y5RuPt2 after structural relaxation from the Alexandria database. Energies are from GGA-PBE.

Its formation energy from the elements is -0.779 eV per atom.

The space group is Pbam (No. 55) and the conventional cell measures 7.757, 12.014 and 4.242 Å, with angles of 90.00, 90.00 and 90.00 degrees. The asymmetric unit holds Y at (0.000, 0.000, 0.000), Y at (0.162, 0.299, 0.000), Y at (0.176, 0.590, 0.500), Ru at (0.000, 0.500, 0.000) and Pt at (0.043, 0.828, 0.500).

12.
Here is K3LaU2O9 after structural relaxation from the Alexandria database. Energies are from GGA-PBE.

The value obtained for the uncorrected formation energy is -43.19 eV per formula unit.

The space group is P-3m1 (No. 164) and the conventional cell measures 6.2165, 6.2165 and 7.6371 Å, with angles of 90.00, 90.00 and 120.00 degrees. The asymmetric unit holds K at (0.0000, 0.0000, 0.0000), K at (0.3333, 0.6667, 0.6645), La at (0.0000, 0.0000, 0.5000), U at (0.3333, 0.6667, 0.1606), O at (0.0000, 0.5000, 0.0000) and O at (0.1786, 0.3572, 0.3139).